No. 1
DFT (GGA-PBE) results for an optimized crystal structure of Nb3SbCN.

Lattice parameters (Å, degrees): 3.261 3.261 18.585 90.00 90.00 120.00
Positions (direct):
C 0.333 0.667 0.071
C 0.667 0.333 0.929
N 0.333 0.667 0.433
N 0.667 0.333 0.567
Nb 0.000 0.000 0.000
Nb 0.667 0.333 0.130
Nb 0.667 0.333 0.371
Nb 0.000 0.000 0.500
Nb 0.333 0.667 0.629
Nb 0.333 0.667 0.870
Sb 0.000 0.000 0.252
Sb 0.000 0.000 0.748

theoretical density	8.27	g cm⁻³
final energy	-109.64	eV for the cell shown
space-group type	P-3m1
V	14.3	A^3/atom


No. 2
DFT (GGA-PBE) results for an optimized crystal structure of Nb4Sb2CN.

Lattice parameters (Å, degrees): 3.351 3.351 13.147 90.00 90.00 120.00
Positions (direct):
C 0.000 0.000 0.000
N 0.000 0.000 0.500
Nb 0.333 0.667 0.085
Nb 0.333 0.667 0.418
Nb 0.667 0.333 0.582
Nb 0.667 0.333 0.915
Sb 0.667 0.333 0.252
Sb 0.333 0.667 0.748

theoretical density	8.33	g cm⁻³
final energy	-69.74	eV for the cell shown
space-group type	P-3m1
V	16.0	A^3/atom


No. 3
DFT (GGA-PBE) results for an optimized crystal structure of Nb3SiCN.

Lattice parameters (Å, degrees): 3.168 3.168 17.911 90.00 90.00 120.00
Positions (direct):
C 0.333 0.667 0.074
C 0.667 0.333 0.926
N 0.333 0.667 0.429
N 0.667 0.333 0.571
Nb 0.000 0.000 0.000
Nb 0.667 0.333 0.142
Nb 0.667 0.333 0.361
Nb 0.000 0.000 0.500
Nb 0.333 0.667 0.639
Nb 0.333 0.667 0.858
Si 0.000 0.000 0.252
Si 0.000 0.000 0.748

theoretical density	7.10	g cm⁻³
final energy	-113.67	eV for the cell shown
space-group type	P-3m1
V	13.0	A^3/atom


No. 4
DFT (GGA-PBE) results for an optimized crystal structure of Nb4Sn2CN.

Lattice parameters (Å, degrees): 3.276 3.276 13.776 90.00 90.00 120.00
Positions (direct):
C 0.000 0.000 0.000
N 0.000 0.000 0.500
Nb 0.333 0.667 0.083
Nb 0.333 0.667 0.420
Nb 0.667 0.333 0.580
Nb 0.667 0.333 0.917
Sn 0.667 0.333 0.252
Sn 0.333 0.667 0.748

theoretical density	8.24	g cm⁻³
final energy	-69.80	eV for the cell shown
space-group type	P-3m1
V	16.0	A^3/atom


No. 5
DFT (GGA-PBE) results for an optimized crystal structure of Nb3SnCN.

Lattice parameters (Å, degrees): 3.195 3.195 19.365 90.00 90.00 120.00
Positions (direct):
C 0.333 0.667 0.068
C 0.667 0.333 0.932
N 0.333 0.667 0.435
N 0.667 0.333 0.565
Nb 0.000 0.000 0.000
Nb 0.667 0.333 0.129
Nb 0.667 0.333 0.374
Nb 0.000 0.000 0.500
Nb 0.333 0.667 0.626
Nb 0.333 0.667 0.871
Sn 0.000 0.000 0.252
Sn 0.000 0.000 0.748

theoretical density	8.21	g cm⁻³
final energy	-109.98	eV for the cell shown
space-group type	P-3m1
V	14.3	A^3/atom


No. 6
DFT (GGA-PBE) results for an optimized crystal structure of Nb8Tl2C3N3.

Lattice parameters (Å, degrees): 3.167 3.167 25.085 90.00 90.00 120.00
Positions (direct):
C 0.000 0.000 0.000
C 0.667 0.333 0.105
C 0.333 0.667 0.895
N 0.667 0.333 0.398
N 0.000 0.000 0.500
N 0.333 0.667 0.602
Nb 0.333 0.667 0.053
Nb 0.000 0.000 0.152
Nb 0.000 0.000 0.349
Nb 0.333 0.667 0.450
Nb 0.667 0.333 0.550
Nb 0.000 0.000 0.651
Nb 0.000 0.000 0.848
Nb 0.667 0.333 0.947
Tl 0.333 0.667 0.251
Tl 0.667 0.333 0.749

theoretical density	9.37	g cm⁻³
final energy	-146.38	eV for the cell shown
space-group type	P-3m1
V	13.6	A^3/atom


No. 7
DFT (GGA-PBE) results for an optimized crystal structure of Nb8Zn2C3N3.

Lattice parameters (Å, degrees): 3.139 3.139 24.105 90.00 90.00 120.00
Positions (direct):
C 0.000 0.000 0.000
C 0.667 0.333 0.111
C 0.333 0.667 0.889
N 0.667 0.333 0.392
N 0.000 0.000 0.500
N 0.333 0.667 0.608
Nb 0.333 0.667 0.056
Nb 0.000 0.000 0.159
Nb 0.000 0.000 0.342
Nb 0.333 0.667 0.446
Nb 0.667 0.333 0.554
Nb 0.000 0.000 0.658
Nb 0.000 0.000 0.841
Nb 0.667 0.333 0.944
Zn 0.333 0.667 0.251
Zn 0.667 0.333 0.749

theoretical density	7.69	g cm⁻³
final energy	-145.03	eV for the cell shown
space-group type	P-3m1
V	12.9	A^3/atom


No. 8
DFT (GGA-PBE) results for an optimized crystal structure of Nd4C2N5.

Lattice parameters (Å, degrees): 6.377 6.377 8.950 128.70 128.70 32.84
Positions (direct):
C 0.576 0.576 0.095
C 0.424 0.424 0.905
N 0.692 0.692 0.095
N 0.608 0.608 0.279
N 0.000 0.000 0.500
N 0.392 0.392 0.721
N 0.308 0.308 0.905
Nd 0.922 0.922 0.164
Nd 0.312 0.312 0.388
Nd 0.688 0.688 0.612
Nd 0.078 0.078 0.836

theoretical density	7.44	g cm⁻³
final energy	-89.71	eV for the cell shown
space-group type	C2/m
V	13.6	A^3/atom


No. 9
DFT (GGA-PBE) results for an optimized crystal structure of TbNd2Ni2C2N3.

Lattice parameters (Å, degrees): 10.199 10.199 10.199 159.89 159.89 28.59
Positions (direct):
C 0.191 0.191 0.000
C 0.809 0.809 0.000
N 0.120 0.120 0.000
N 0.500 0.500 0.000
N 0.880 0.880 0.000
Nd 0.373 0.373 0.000
Nd 0.627 0.627 0.000
Ni 0.750 0.250 0.500
Ni 0.250 0.750 0.500
Tb 0.000 0.000 0.000

theoretical density	8.36	g cm⁻³
final energy	-76.35	eV for the cell shown
space-group type	I4/mmm
V	12.5	A^3/atom


No. 10
DFT (GGA-PBE) results for an optimized crystal structure of PrNdCN2O2.

Lattice parameters (Å, degrees): 3.916 3.916 8.310 90.00 90.00 120.00
Positions (direct):
C 0.000 0.000 0.000
N 0.000 0.000 0.149
N 0.000 0.000 0.851
Nd 0.667 0.333 0.681
O 0.667 0.333 0.397
O 0.333 0.667 0.604
Pr 0.333 0.667 0.318

theoretical density	5.38	g cm⁻³
final energy	-59.75	eV for the cell shown
space-group type	P3m1
V	15.8	A^3/atom


Question: What is the final energy in the first record?
Answer: -109.64 eV for the cell shown


Question: Which value of V does entry 1 give?
Answer: 14.3 A^3/atom